Entry 1:
CaPmY: relaxed, PBE-GGA.

a b c (Å): 3.605 5.645 10.847
angles (deg): 90.00 99.50 90.00
Space group P2_1/m (No. 11)
Symmetry-distinct sites (fractional):
Ca  0.204  0.250  0.409
Pm  0.394  0.250  0.787
Y  0.040  0.250  0.080

Summary:
Its energy of formation from the pure elements is 0.040 eV/atom. As for the density of states at the Fermi level: 1.459 states/eV per atom. The total magnetization comes out at 0.00 μB/f.u.


Entry 2:
MgMn2Cl: relaxed, PBE-GGA.

a b c (Å): 3.804 3.804 10.528
angles (deg): 90.00 90.00 90.00
Space group I4/mmm (No. 139)
Symmetry-distinct sites (fractional):
Mg  0.000  0.000  0.000
Mn  0.000  0.500  0.250
Cl  0.000  0.000  0.500

Summary:
As for the density of states at the Fermi level: 0.834 states/eV per atom. The total magnetization comes out at 8.05 μB/f.u. The raw formation energy comes out at 1.25 eV per formula unit.


Entry 3:
NiPd5Pt2: relaxed, PBE-GGA.

a b c (Å): 3.911 3.911 15.713
angles (deg): 90.00 90.00 90.00
Space group I4/mmm (No. 139)
Symmetry-distinct sites (fractional):
Ni  0.000  0.000  0.000
Pd  0.000  0.000  0.500
Pd  0.000  0.500  0.121
Pt  0.000  0.000  0.250

Summary:
Its energy of formation from the pure elements is 0.000 eV/atom. As for the density of states at the Fermi level: 1.860 states/eV per atom. The total magnetization comes out at 2.69 μB/f.u.


Entry 4:
CaAc2As: relaxed, PBE-GGA.

a b c (Å): 3.924 3.924 9.908
angles (deg): 90.00 90.00 90.00
Space group P4/mmm (No. 123)
Symmetry-distinct sites (fractional):
Ca  0.000  0.000  0.000
Ac  0.500  0.500  0.320
As  0.000  0.000  0.500

Summary:
Its energy of formation from the pure elements is -0.504 eV/atom. As for the density of states at the Fermi level: 1.368 states/eV per atom. The total magnetization comes out at 0.00 μB/f.u.


Entry 5:
BaSrRuO2: relaxed, PBE-GGA.

a b c (Å): 4.795 4.795 5.097
angles (deg): 90.00 90.00 90.00
Space group P4/mmm (No. 123)
Symmetry-distinct sites (fractional):
Ba  0.000  0.000  0.000
Sr  0.500  0.500  0.500
Ru  0.500  0.500  0.000
O  0.000  0.500  0.500

Summary:
As for the density of states at the Fermi level: 1.242 states/eV per atom. The total magnetization comes out at 2.76 μB/f.u. The raw formation energy comes out at -0.83 eV per formula unit.


Entry 6:
Na2PtO4: relaxed, PBE-GGA.

a b c (Å): 10.526 3.132 6.162
angles (deg): 90.00 119.20 90.00
Space group C2/m (No. 12)
Symmetry-distinct sites (fractional):
Na  0.163  0.000  0.180
Pt  0.000  0.500  0.500
O  0.065  0.500  0.846
O  0.136  0.000  0.547

Summary:
As for the density of states at the Fermi level: 0.068 states/eV per atom. The total magnetization comes out at 2.02 μB/f.u. The raw formation energy comes out at -6.26 eV per formula unit.